No. 1
CeHoErTl: relaxed, GGA-PBE.

Summary:
Formation energy in eV/f.u.: 0.1
Magnetic moment in μB per formula unit: 0.6
Total energy in eV per formula unit: -17.3

Cell lengths 5.380, 5.380, 5.380 Å; angles 60.00, 60.00, 60.00 degrees
Last column: magnetic moment on the atom in μB.
Fractional positions:
Tl (0.000, 0.000, 0.000)  -0.01
Ho (0.250, 0.250, 0.250)  0.07
Ce (0.500, 0.500, 0.500)  0.29
Er (0.750, 0.750, 0.750)  0.07


No. 2
Tc2HgPb: relaxed, GGA-PBE.

Summary:
Formation energy in eV/f.u.: 3.2
Magnetic moment in μB per formula unit: 2.3
Total energy in eV per formula unit: -21.5

Cell lengths 4.695, 4.695, 4.695 Å; angles 60.00, 60.00, 60.00 degrees
Last column: magnetic moment on the atom in μB.
Fractional positions:
Pb (0.500, 0.500, 0.500)  -0.03
Hg (0.000, 0.000, 0.000)  0.02
Tc (0.250, 0.250, 0.250)  1.07
Tc (0.750, 0.750, 0.750)  1.07


No. 3
Tb4Tl3Cd: relaxed, GGA-PBE.

Summary:
Formation energy in eV/f.u.: -2.8
Magnetic moment in μB per formula unit: 0.0
Total energy in eV per formula unit: -29.3

Cell lengths 5.360, 5.360, 8.496 Å; angles 108.43, 108.39, 90.00 degrees
Fractional positions:
Tl (0.000, 0.500, 0.000)
Tl (0.747, 0.247, 0.494)
Tl (0.253, 0.753, 0.506)
Tb (0.376, 0.376, 0.752)
Tb (0.624, 0.624, 0.248)
Tb (0.124, 0.124, 0.248)
Tb (0.876, 0.876, 0.752)
Cd (0.500, 0.000, 0.000)


Question: What is the formula in the third record?
Answer: Tb4Tl3Cd


Question: What is the formation energy in the third record?
Answer: -2.8 eV/f.u.